First-principles (PBE) data for a relaxed Pm4NdTh crystal, as listed in the Alexandria database.

Unit cell a=3.626 b=9.666 c=12.092 alpha=148.66 beta=90.27 gamma=100.75
Sites, in units of the cell vectors:
Pm (0.662, 0.324, 0.998)
Pm (0.172, 0.346, 0.508)
Pm (0.338, 0.676, 0.002)
Pm (0.828, 0.654, 0.492)
Nd (0.500, 0.000, 0.500)
Th (0.000, 0.000, 0.000)

Results
For the energy above the most stable polymorph in this dataset, the calculation gives 0.000 eV per atom. For the total magnetization, the calculation gives 0.0 μB per formula unit. The space group is P-1. The calculation puts the formation energy at 0.03 eV/atom.